1.
# MnSnSe

MnSnSe after structural relaxation (PBE-GGA, the Alexandria database).

raw formation energy	-0.193	eV per atom

Cell and atoms, written as CIF:
```
data_MnSnSe
_chemical_formula_sum 'Mn2 Sn2 Se2'
_space_group_name_H-M_alt 'P m n 21'
_space_group_IT_number 31
_space_group_name_Hall 'P 2ac -2'
_cell_length_a 3.634
_cell_length_b 5.625
_cell_length_c 6.452
_cell_angle_alpha 90.00
_cell_angle_beta 90.00
_cell_angle_gamma 90.00
loop_
_atom_site_label
_atom_site_type_symbol
_atom_site_fract_x
_atom_site_fract_y
_atom_site_fract_z
Mn1 Mn 0.000 0.200 0.000
Sn1 Sn 0.000 0.463 0.645
Se1 Se 0.000 0.070 0.372
```

2.
# PrNd2Y8

PrNd2Y8 after structural relaxation (PBE-GGA, the Alexandria database).

offset from the most stable computed form	15	meV per atom
ΔH_f (0 K)	0.16	eV per atom

Cell and atoms, written as CIF:
```
data_PrNd2Y8
_chemical_formula_sum 'Pr2 Nd4 Y16'
_space_group_name_H-M_alt 'C 1 2/m 1'
_space_group_IT_number 12
_space_group_name_Hall '-C 2y'
_cell_length_a 16.740
_cell_length_b 6.699
_cell_length_c 6.730
_cell_angle_alpha 90.00
_cell_angle_beta 98.99
_cell_angle_gamma 90.00
loop_
_atom_site_label
_atom_site_type_symbol
_atom_site_fract_x
_atom_site_fract_y
_atom_site_fract_z
Pr1 Pr 0.000 0.000 0.000
Nd1 Nd 0.246 0.000 0.310
Y1 Y 0.088 0.500 0.903
Y2 Y 0.089 0.262 0.405
Y3 Y 0.205 0.000 0.803
```

3.
# Ca2CoOs

Ca2CoOs after structural relaxation (PBE-GGA, the Alexandria database).

offset from the most stable computed form	656	meV per atom
ΔH_f (0 K)	0.79	eV per atom

Cell and atoms, written as CIF:
```
data_Ca2CoOs
_chemical_formula_sum 'Ca6 Co3 Os3'
_space_group_name_H-M_alt 'R -3 m'
_space_group_IT_number 166
_space_group_name_Hall '-R 3 2"'
_cell_length_a 3.1066
_cell_length_b 3.1066
_cell_length_c 27.1292
_cell_angle_alpha 90.00
_cell_angle_beta 90.00
_cell_angle_gamma 120.00
loop_
_atom_site_label
_atom_site_type_symbol
_atom_site_fract_x
_atom_site_fract_y
_atom_site_fract_z
Ca1 Ca 0.0000 0.0000 0.2480
Co1 Co 0.0000 0.0000 0.5000
Os1 Os 0.0000 0.0000 0.0000
```

4.
# PaHgTe2

PaHgTe2 after structural relaxation (PBE-GGA, the Alexandria database).

raw formation energy	-0.565	eV per atom
offset from the most stable computed form	22	meV per atom

Cell and atoms, written as CIF:
```
data_PaHgTe2
_chemical_formula_sum 'Pa3 Hg3 Te6'
_space_group_name_H-M_alt 'R -3 m'
_space_group_IT_number 166
_space_group_name_Hall '-R 3 2"'
_cell_length_a 4.2935
_cell_length_b 4.2935
_cell_length_c 29.1652
_cell_angle_alpha 90.00
_cell_angle_beta 90.00
_cell_angle_gamma 120.00
loop_
_atom_site_label
_atom_site_type_symbol
_atom_site_fract_x
_atom_site_fract_y
_atom_site_fract_z
Pa1 Pa 0.0000 0.0000 0.0000
Hg1 Hg 0.0000 0.0000 0.5000
Te1 Te 0.0000 0.0000 0.2708
```

5.
# Ba2NaTaAu

Ba2NaTaAu after structural relaxation (PBE-GGA, the Alexandria database).

ΔH_f (0 K)	0.77	eV per atom

Cell and atoms, written as CIF:
```
data_Ba2NaTaAu
_chemical_formula_sum 'Ba2 Na1 Ta1 Au1'
_space_group_name_H-M_alt 'P 4/m m m'
_space_group_IT_number 123
_space_group_name_Hall '-P 4 2'
_cell_length_a 6.264
_cell_length_b 6.264
_cell_length_c 5.342
_cell_angle_alpha 90.00
_cell_angle_beta 90.00
_cell_angle_gamma 90.00
loop_
_atom_site_label
_atom_site_type_symbol
_atom_site_fract_x
_atom_site_fract_y
_atom_site_fract_z
Ba1 Ba 0.000 0.500 0.000
Na1 Na 0.000 0.000 0.500
Ta1 Ta 0.500 0.500 0.500
Au1 Au 0.000 0.000 0.000
```

6.
# Na2LiTiF6

Na2LiTiF6 after structural relaxation (PBE-GGA, the Alexandria database).

raw formation energy	-2.985	eV per atom
offset from the most stable computed form	52	meV per atom

Cell and atoms, written as CIF:
```
data_Na2LiTiF6
_chemical_formula_sum 'Na8 Li4 Ti4 F24'
_space_group_name_H-M_alt 'F m -3 m'
_space_group_IT_number 225
_space_group_name_Hall '-F 4 2 3'
_cell_length_a 7.934
_cell_length_b 7.934
_cell_length_c 7.934
_cell_angle_alpha 90.00
_cell_angle_beta 90.00
_cell_angle_gamma 90.00
loop_
_atom_site_label
_atom_site_type_symbol
_atom_site_fract_x
_atom_site_fract_y
_atom_site_fract_z
Na1 Na 0.250 0.250 0.250
Li1 Li 0.000 0.000 0.000
Ti1 Ti 0.000 0.000 0.500
F1 F 0.000 0.000 0.252
```